The following is a PBE-GGA calculation of a relaxed structure of YErP2, from Alexandria. Values from VASP.

Calculated values
**Energy of formation from the pure elements**: -1.455 eV per atom
**Density**: 5.8 g/cm3
**Excess energy over the best structure of this formula in the dataset**: 167 meV/atom
**Final energy**: -6.916 eV/atom
**Space-group type**: R3m, No. 160

```
&SYSTEM
  ibrav = 0, nat = 4, ntyp = 3
/
ATOMIC_SPECIES
Er 167.26 Er.upf
Y 88.91 Y.upf
P 30.97 P.upf
ATOMIC_POSITIONS crystal
Er 0.669 0.669 0.993
Y 0.498 0.498 0.507
P 0.081 0.081 0.756
P 0.252 0.252 0.244
CELL_PARAMETERS angstrom
3.952 0.000 0.000
1.976 3.423 0.000
1.976 1.141 6.790
```